(1)
Computed, not measured: a geometry-optimized LiPb3Au structure at the PBE level of DFT.

Output
offset from the most stable computed form = 0.000 eV/atom
space-group type = C2/m (12)
DFT formation energy = -114 meV per atom

abc: 7.1249 7.1249 7.2996
angles: 104.82 124.42 99.13
Last column: nearest neighbours and their distance in Å.
Element x y z (fractional)
Li1 0.7036 0.0602 0.7638  2 Au 2.64-2.65
Pb1 0.7740 0.6037 0.7884  2 Au 2.91-3.05, 1 Li 3.11
Pb2 0.2433 0.5663 0.8096  2 Au 3.02-3.21, 2 Pb 3.32, 1 Li 3.32
Pb3 0.2260 0.3963 0.2116  2 Au 2.91-3.05, 1 Li 3.11
Pb4 0.1847 0.0144 0.7884  2 Au 2.91-3.05, 1 Li 3.11
Pb5 0.7567 0.4337 0.1904  2 Au 3.02-3.21, 2 Pb 3.32, 1 Li 3.32
Au1 0.3698 0.2324 0.6023  2 Li 2.64-2.65, 2 Pb 2.91
Li2 0.2964 0.9398 0.2362  2 Au 2.64-2.65
Au2 0.6302 0.7676 0.3977  2 Li 2.64-2.65, 2 Pb 2.91
Pb6 0.8153 0.9856 0.2116  2 Au 2.91-3.05, 1 Li 3.11

---

(2)
Computed, not measured: a geometry-optimized Li4PbAu structure at the PBE level of DFT.

Output
offset from the most stable computed form = 0.181 eV/atom
space-group type = F-43m (216)
DFT formation energy = -183 meV per atom

abc: 5.2382 5.2382 5.2382
angles: 60.00 60.00 60.00
Last column: nearest neighbours and their distance in Å.
Element x y z (fractional)
Li1 0.3743 0.3743 0.3743  6 Li 2.60-2.63
Li2 0.8770 0.3743 0.3743  6 Li 2.60-2.63
Pb1 0.7500 0.7500 0.7500  12 Li 3.07, 4 Au 3.21
Li3 0.3743 0.8770 0.3743  6 Li 2.60-2.63
Li4 0.3743 0.3743 0.8770  6 Li 2.60-2.63
Au1 0.0000 0.0000 0.0000  12 Li 3.07, 4 Pb 3.21

---

How do the records compare in total moment? In the order shown, they have 0.00 0.55 Bohr magnetons per cell.